First-principles (PBE-GGA) data for a geometry-optimized LuBO2 structure, as listed in Alexandria via LeMat-Bulk.

Cell: 2.7954 2.7954 18.4849 Å, 90.00 90.00 120.00°
Space group R-3m (No. 166, hexagonal axes)
Unique sites:
Lu1 0.0000 0.0000 0.0000 [3 per cell]
B1 0.0000 0.0000 0.5000 [3 per cell]
O1 0.0000 0.0000 0.1202 [6 per cell]

Properties
DOS at the Fermi energy, states/eV/f.u.: 1.584
Mass density, g/cm3: 8.67
ΔE_f (raw), meV per atom: -795
Spin magnetization, μB per formula unit: 0.0
E_tot, eV/atom: -6.074